The following is a DFT calculation (PBE) of MnBr3N after structural relaxation.

a b c (Å): 6.4437 6.9047 11.9606
angles (deg): 113.67 115.14 57.64
Closest atoms and distances in Å follow each position.
Element x y z (fractional)
1 N 0.6669 0.0711 0.0040  1 N 1.11
2 N 0.7127 0.2245 0.0514  1 N 1.11
3 Br 0.1203 0.1765 0.6673  1 Mn 2.41
4 Br 0.2454 0.1240 0.3871  1 Mn 2.42
5 Br 0.6065 0.4767 0.3881  2 Mn 2.50
6 Br 0.7589 0.8240 0.6662  2 Mn 2.50
7 Br 0.3973 0.5381 0.6674  1 Mn 2.42
8 Br 0.9677 0.7626 0.3869  1 Mn 2.42
9 Mn 0.0237 0.4803 0.5266  4 Br 2.42-2.50
10 Mn 0.3412 0.8214 0.5274  4 Br 2.41-2.50

Values from the calculation:
Calculated volume: 39.62 A^3/atom
Total magnetization: 4.0 μB/f.u.
Formation energy without anion corrections: -517 meV/atom

The following is a DFT calculation (PBE) of MnBrN2 after structural relaxation.

a b c (Å): 5.6150 5.6150 5.6122
angles (deg): 59.98 59.98 90.00
Closest atoms and distances in Å follow each position.
Element x y z (fractional)
1 N 0.3750 0.6253 0.7500  2 Mn 1.72
2 N 0.3747 0.1250 0.2500  2 Mn 1.72
3 N 0.3753 0.6250 0.2500  2 Mn 1.72
4 N 0.8750 0.6247 0.7500  2 Mn 1.72
5 Mn 0.5000 0.5000 0.0000  4 N 1.72
6 Mn 0.2500 0.7500 0.5000  4 N 1.72
7 Br 0.7500 0.2500 0.5000  12 N 3.29, 4 Mn 3.44, 4 Br 3.44
8 Br 0.0000 0.0000 0.0000  12 N 3.29, 4 Mn 3.44, 4 Br 3.44

Values from the calculation:
Calculated volume: 15.63 A^3/atom
Total magnetization: 0.9 μB/f.u.
Formation energy without anion corrections: 514 meV/atom

The following is a DFT calculation (PBE) of MnBr3N after structural relaxation.

a b c (Å): 4.8030 4.8030 4.8030
angles (deg): 90.00 90.00 90.00
Closest atoms and distances in Å follow each position.
Element x y z (fractional)
1 Mn 0.0000 0.0000 0.0000  6 Br 2.40
2 Br 0.0000 0.5000 0.0000  2 Mn 2.40
3 Br 0.0000 0.0000 0.5000  2 Mn 2.40
4 Br 0.5000 0.0000 0.0000  2 Mn 2.40
5 N 0.5000 0.5000 0.5000  12 Br 3.40

Values from the calculation:
Calculated volume: 22.16 A^3/atom
Total magnetization: 0.0 μB/f.u.
Formation energy without anion corrections: 1437 meV/atom

The following is a DFT calculation (PBE) of MnBrN2 after structural relaxation.

a b c (Å): 6.6876 6.6876 6.6876
angles (deg): 27.86 27.86 27.86
Closest atoms and distances in Å follow each position.
Element x y z (fractional)
1 N 0.0896 0.0896 0.0896  1 Mn 1.73
2 N 0.9104 0.9104 0.9104  1 Mn 1.73
3 Br 0.5000 0.5000 0.5000  6 N 2.38
4 Mn 0.0000 0.0000 0.0000  2 N 1.73

Values from the calculation:
Calculated volume: 14.42 A^3/atom
Total magnetization: 2.0 μB/f.u.
Formation energy without anion corrections: 1744 meV/atom